[1]
This record from Alexandria via LeMat-Bulk describes a relaxed Sc2URu4 crystal. The functional is PBE.

Total magnetic moment = 0.0 μB/cell
E_form = -0.096 eV per atom
D(E_F) = 10.9 states/eV/cell

Lattice parameters (Å, degrees): 6.388 6.388 6.159 90.00 90.00 90.00
Space group I4/mmm (No. 139)
Symmetry-distinct sites (fractional):
Sc1 0.000 0.500 0.000 x4
U1 0.000 0.000 0.000 x2
Ru1 0.250 0.250 0.250 x8

[2]
This record from Alexandria via LeMat-Bulk describes a relaxed Hf2TlAuO crystal. The functional is PBE.

Total magnetic moment = 0.0 μB/cell
Uncorrected formation energy = 604 meV/atom
D(E_F) = 5.4 states/eV/cell

Lattice parameters (Å, degrees): 5.344 5.344 3.940 90.00 90.00 90.00
Space group P4/mmm (No. 123)
Symmetry-distinct sites (fractional):
Hf1 0.000 0.500 0.000 x2
Tl1 0.000 0.000 0.500 x1
Au1 0.500 0.500 0.000 x1
O1 0.500 0.500 0.500 x1

[3]
This record from Alexandria via LeMat-Bulk describes a relaxed Zn2HIrRh crystal. The functional is PBE.

Total magnetic moment = 0.0 μB/cell
Offset from the most stable computed form = 0.000 eV per atom
D(E_F) = 2.9 states/eV/cell

Lattice parameters (Å, degrees): 4.240 4.240 3.303 90.00 90.00 90.00
Space group P4/mmm (No. 123)
Symmetry-distinct sites (fractional):
Zn1 0.000 0.500 0.000 x2
H1 0.000 0.000 0.000 x1
Ir1 0.500 0.500 0.500 x1
Rh1 0.000 0.000 0.500 x1

[4]
This record from Alexandria via LeMat-Bulk describes a relaxed PmHoEr2 crystal. The functional is PBE.

Total magnetic moment = 0.0 μB/cell
Offset from the most stable computed form = 0.005 eV per atom
E_form = 0.023 eV per atom
D(E_F) = 5.5 states/eV/cell

Lattice parameters (Å, degrees): 3.546 3.546 10.033 90.00 90.00 90.00
Space group P4/mmm (No. 123)
Symmetry-distinct sites (fractional):
Pm1 0.000 0.000 0.000 x1
Ho1 0.000 0.000 0.500 x1
Er1 0.500 0.500 0.254 x2

[5]
This record from Alexandria via LeMat-Bulk describes a relaxed VPSe2N crystal. The functional is PBE.

Total magnetic moment = 0.5 μB/cell
Offset from the most stable computed form = 0.000 eV per atom
Uncorrected formation energy = 356 meV/atom
D(E_F) = 2.2 states/eV/cell

Lattice parameters (Å, degrees): 4.955 4.955 3.594 90.00 90.00 90.00
Space group P4/mmm (No. 123)
Symmetry-distinct sites (fractional):
V1 0.000 0.000 0.000 x1
P1 0.500 0.500 0.500 x1
Se1 0.000 0.500 0.000 x2
N1 0.000 0.000 0.500 x1

[6]
This record from Alexandria via LeMat-Bulk describes a relaxed V2BiAsI crystal. The functional is PBE.

Total magnetic moment = 6.3 μB/cell
Uncorrected formation energy = 774 meV/atom
D(E_F) = 5.3 states/eV/cell

Lattice parameters (Å, degrees): 4.893 4.893 5.800 90.00 90.00 90.00
Space group P4/mmm (No. 123)
Symmetry-distinct sites (fractional):
V1 0.000 0.500 0.000 x2
Bi1 0.000 0.000 0.500 x1
As1 0.500 0.500 0.000 x1
I1 0.500 0.500 0.500 x1